1.
# CsNa2ZnGa (PBE, relaxed)
# Magnetization: 0.0000 μB/atom
# DFT total energy: -1.485 eV per atom
# E above lowest polymorph: 18 meV/atom
# Formation enthalpy at 0 K: 0.07 eV per atom
data_CsNa2ZnGa
_chemical_formula_sum 'Cs1 Na2 Zn1 Ga1'
_cell_length_a 5.955
_cell_length_b 5.955
_cell_length_c 4.829
_cell_angle_alpha 90.00
_cell_angle_beta 90.00
_cell_angle_gamma 90.00
_space_group_name_H-M_alt 'P 4/m m m'
_space_group_IT_number 123
_space_group_name_Hall '-P 4 2'
loop_
_atom_site_label
_atom_site_type_symbol
_atom_site_fract_x
_atom_site_fract_y
_atom_site_fract_z
Cs1 Cs 0.000 0.000 0.000
Na1 Na 0.000 0.500 0.500
Zn1 Zn 0.500 0.500 0.500
Ga1 Ga 0.500 0.500 0.000

2.
# DyLuPa (PBE, relaxed)
# Magnetization: 0.0000 μB/atom
# DFT total energy: -6.102 eV per atom
# E above lowest polymorph: 0 meV/atom
# Formation enthalpy at 0 K: 0.10 eV per atom
data_DyLuPa
_chemical_formula_sum 'Dy1 Lu1 Pa1'
_cell_length_a 3.3982
_cell_length_b 3.3982
_cell_length_c 8.4418
_cell_angle_alpha 90.00
_cell_angle_beta 90.00
_cell_angle_gamma 120.00
_space_group_name_H-M_alt 'P 3 m 1'
_space_group_IT_number 156
loop_
_space_group_symop_operation_xyz
'x,y,z'
'-y,x-y,z'
'-x+y,-x,z'
'-y,-x,z'
'-x+y,y,z'
'x,x-y,z'
loop_
_atom_site_label
_atom_site_type_symbol
_atom_site_fract_x
_atom_site_fract_y
_atom_site_fract_z
Dy1 Dy 0.0000 0.0000 0.0000
Lu1 Lu 0.3333 0.6667 0.6431
Pa1 Pa 0.6667 0.3333 0.3241

Among the records above, which one has the highest formation enthalpy at 0 K?
DyLuPa

Among the records above, which one has the lowest DFT total energy?
DyLuPa

What is the magnetization in the first record?
0.0000 μB/atom